No. 1
First-principles (GGA-PBE) data for Ce3Ti5S12 after structural relaxation, as listed in Alexandria via LeMat-Bulk.

Cell lengths 13.2382, 13.2382, 13.2382 Å; angles 109.47, 109.47, 109.47 degrees
Element x y z (fractional)
Ce 0.1250 0.2500 0.3750
Ce 0.1250 0.3750 0.7500
Ce 0.2500 0.3750 0.1250
Ce 0.2500 0.8750 0.6250
Ce 0.3750 0.1250 0.2500
Ce 0.3750 0.7500 0.1250
Ce 0.6250 0.2500 0.8750
Ce 0.6250 0.8750 0.7500
Ce 0.7500 0.1250 0.3750
Ce 0.7500 0.6250 0.8750
Ce 0.8750 0.6250 0.2500
Ce 0.8750 0.7500 0.6250
Ti 0.0000 0.0000 0.0000
Ti 0.0000 0.0000 0.5000
Ti 0.0000 0.5000 0.0000
Ti 0.0000 0.5000 0.5000
Ti 0.1250 0.7500 0.8750
Ti 0.1250 0.8750 0.2500
Ti 0.2500 0.1250 0.8750
Ti 0.2500 0.6250 0.3750
Ti 0.3750 0.2500 0.6250
Ti 0.3750 0.6250 0.7500
Ti 0.5000 0.0000 0.0000
Ti 0.5000 0.0000 0.5000
Ti 0.5000 0.5000 0.0000
Ti 0.5000 0.5000 0.5000
Ti 0.6250 0.3750 0.2500
Ti 0.6250 0.7500 0.3750
Ti 0.7500 0.3750 0.6250
Ti 0.7500 0.8750 0.1250
Ti 0.8750 0.1250 0.7500
Ti 0.8750 0.2500 0.1250
S 0.0293 0.2082 0.1199
S 0.0293 0.3211 0.9095
S 0.0883 0.7082 0.6789
S 0.0883 0.8801 0.4095
S 0.0905 0.6199 0.4117
S 0.0905 0.9707 0.6789
S 0.1199 0.0293 0.2082
S 0.1199 0.5905 0.9117
S 0.1789 0.2082 0.5883
S 0.1789 0.4707 0.5905
S 0.2082 0.1199 0.0293
S 0.2082 0.5883 0.1789
S 0.2918 0.3211 0.9117
S 0.2918 0.4707 0.3801
S 0.3211 0.9095 0.0293
S 0.3211 0.9117 0.2918
S 0.3801 0.2918 0.4707
S 0.3801 0.5883 0.9095
S 0.4095 0.0883 0.8801
S 0.4095 0.8211 0.5293
S 0.4117 0.0905 0.6199
S 0.4117 0.8211 0.7918
S 0.4707 0.3801 0.2918
S 0.4707 0.5905 0.1789
S 0.5293 0.4095 0.8211
S 0.5293 0.6199 0.7082
S 0.5883 0.1789 0.2082
S 0.5883 0.9095 0.3801
S 0.5905 0.1789 0.4707
S 0.5905 0.9117 0.1199
S 0.6199 0.4117 0.0905
S 0.6199 0.7082 0.5293
S 0.6789 0.0883 0.7082
S 0.6789 0.0905 0.9707
S 0.7082 0.5293 0.6199
S 0.7082 0.6789 0.0883
S 0.7918 0.4117 0.8211
S 0.7918 0.8801 0.9707
S 0.8211 0.5293 0.4095
S 0.8211 0.7918 0.4117
S 0.8801 0.4095 0.0883
S 0.8801 0.9707 0.7918
S 0.9095 0.0293 0.3211
S 0.9095 0.3801 0.5883
S 0.9117 0.1199 0.5905
S 0.9117 0.2918 0.3211
S 0.9707 0.6789 0.0905
S 0.9707 0.7918 0.8801

**Symmetry**: No. 230
**DFT total energy**: -6.836 eV/atom
**Formation energy from raw total energies**: -1.50 eV per atom

---

No. 2
First-principles (GGA-PBE) data for CeTi4S8 after structural relaxation, as listed in Alexandria via LeMat-Bulk.

Cell lengths 7.6528, 7.6528, 7.6528 Å; angles 53.63, 53.63, 53.63 degrees
Element x y z (fractional)
Ce 0.0000 0.0000 0.0000
Ti 0.0000 0.0000 0.5000
Ti 0.0000 0.5000 0.0000
Ti 0.5000 0.0000 0.0000
Ti 0.5000 0.5000 0.5000
S 0.2378 0.2378 0.2378
S 0.2489 0.7369 0.7369
S 0.2631 0.2631 0.7511
S 0.2631 0.7511 0.2631
S 0.7369 0.2489 0.7369
S 0.7369 0.7369 0.2489
S 0.7511 0.2631 0.2631
S 0.7622 0.7622 0.7622

**Symmetry**: No. 166
**DFT total energy**: -6.948 eV/atom
**Formation energy from raw total energies**: -1.52 eV per atom
**Excess energy over the best structure of this formula in the dataset**: 0.000 eV/atom

---

No. 3
First-principles (GGA-PBE) data for Ce2TiS6 after structural relaxation, as listed in Alexandria via LeMat-Bulk.

Cell lengths 6.1977, 6.1977, 11.8486 Å; angles 90.00, 90.00, 90.00 degrees
Element x y z (fractional)
Ce 0.0000 0.0000 0.1710
Ce 0.0000 0.0000 0.8290
Ce 0.5000 0.5000 0.3290
Ce 0.5000 0.5000 0.6710
Ti 0.0000 0.0000 0.5000
Ti 0.5000 0.5000 0.0000
S 0.1881 0.1881 0.3531
S 0.1881 0.1881 0.6469
S 0.2086 0.2086 0.0000
S 0.2914 0.7086 0.5000
S 0.3119 0.6881 0.1469
S 0.3119 0.6881 0.8531
S 0.6881 0.3119 0.1469
S 0.6881 0.3119 0.8531
S 0.7086 0.2914 0.5000
S 0.7914 0.7914 0.0000
S 0.8119 0.8119 0.3531
S 0.8119 0.8119 0.6469

**Symmetry**: No. 136
**DFT total energy**: -6.383 eV/atom
**Formation energy from raw total energies**: -1.44 eV per atom

---

No. 4
First-principles (GGA-PBE) data for CeTiS3 after structural relaxation, as listed in Alexandria via LeMat-Bulk.

Cell lengths 7.5898, 7.5898, 4.6650 Å; angles 90.00, 90.00, 129.76 degrees
Element x y z (fractional)
Ce 0.1602 0.8398 0.0000
Ce 0.8398 0.1602 0.0000
Ti 0.3860 0.6140 0.5000
Ti 0.6140 0.3860 0.5000
S 0.0000 0.5000 0.5000
S 0.2204 0.2204 0.5000
S 0.3688 0.6312 0.0000
S 0.5000 0.0000 0.5000
S 0.6312 0.3688 0.0000
S 0.7796 0.7796 0.5000

**Symmetry**: No. 65
**DFT total energy**: -6.727 eV/atom
**Formation energy from raw total energies**: -1.48 eV per atom
**Excess energy over the best structure of this formula in the dataset**: 0.216 eV/atom

---

- Which formula does entry 1 have?
  Ce3Ti5S12